The following is a DFT calculation (PBE-GGA) of an optimized crystal structure of Ni2P.

Properties
D(E_F): 0.480 states/eV per atom
Total energy: -36.00 eV per cell
M_tot: 0.0 μB per formula unit
SG: Pnnm (58)

Lattice parameters (Å, degrees): 2.866 6.354 3.764 90.00 90.00 90.00
Atoms (fractional coordinates):
Ni: 0.213 0.172 0.000
Ni: 0.287 0.672 0.500
Ni: 0.713 0.328 0.500
Ni: 0.787 0.828 0.000
P: 0.000 0.000 0.500
P: 0.500 0.500 0.000